VASP calculation (PBE) on crystalline ZnHg2Pb at its relaxed geometry.

CIF file:
```
data_ZnHg2Pb
_cell_length_a 5.266
_cell_length_b 5.266
_cell_length_c 3.681
_cell_angle_alpha 90.00
_cell_angle_beta 90.00
_cell_angle_gamma 90.00
_space_group_name_H-M_alt 'P 4/m m m'
_space_group_IT_number 123
_space_group_name_Hall '-P 4 2'
loop_
_atom_site_label
_atom_site_type_symbol
_atom_site_fract_x
_atom_site_fract_y
_atom_site_fract_z
Zn1 Zn 0.000 0.000 0.000
Hg1 Hg 0.000 0.500 0.500
Pb1 Pb 0.500 0.500 0.000
```


VASP calculation (PBE) on crystalline Zn2HgPb2 at its relaxed geometry.

CIF file:
```
data_Zn2HgPb2
_cell_length_a 7.105
_cell_length_b 7.105
_cell_length_c 4.795
_cell_angle_alpha 90.00
_cell_angle_beta 90.00
_cell_angle_gamma 90.00
_space_group_name_H-M_alt 'P 4/m b m'
_space_group_IT_number 127
_space_group_name_Hall '-P 4 2ab'
loop_
_atom_site_label
_atom_site_type_symbol
_atom_site_fract_x
_atom_site_fract_y
_atom_site_fract_z
Zn1 Zn 0.128 0.372 0.000
Hg1 Hg 0.000 0.000 0.000
Pb1 Pb 0.175 0.675 0.500
```


VASP calculation (PBE) on crystalline ZnHgPb2 at its relaxed geometry.

CIF file:
```
data_ZnHgPb2
_cell_length_a 12.037
_cell_length_b 3.483
_cell_length_c 5.570
_cell_angle_alpha 90.00
_cell_angle_beta 116.27
_cell_angle_gamma 90.00
_space_group_name_H-M_alt 'C 1 m 1'
_space_group_IT_number 8
loop_
_space_group_symop_operation_xyz
'x,y,z'
'x,-y,z'
'x+1/2,y+1/2,z'
'x+1/2,-y+1/2,z'
loop_
_atom_site_label
_atom_site_type_symbol
_atom_site_fract_x
_atom_site_fract_y
_atom_site_fract_z
Zn1 Zn 0.000 0.000 0.000
Hg1 Hg 0.294 0.000 0.779
Pb1 Pb 0.022 0.500 0.516
Pb2 Pb 0.234 0.500 0.220
```


VASP calculation (PBE) on crystalline ZnHgPb2 at its relaxed geometry.

CIF file:
```
data_ZnHgPb2
_cell_length_a 4.989
_cell_length_b 4.989
_cell_length_c 4.245
_cell_angle_alpha 90.00
_cell_angle_beta 90.00
_cell_angle_gamma 90.00
_space_group_name_H-M_alt 'P 4/m m m'
_space_group_IT_number 123
_space_group_name_Hall '-P 4 2'
loop_
_atom_site_label
_atom_site_type_symbol
_atom_site_fract_x
_atom_site_fract_y
_atom_site_fract_z
Zn1 Zn 0.000 0.000 0.000
Hg1 Hg 0.500 0.500 0.000
Pb1 Pb 0.000 0.500 0.500
```


VASP calculation (PBE) on crystalline ZnHg2Pb at its relaxed geometry.

CIF file:
```
data_ZnHg2Pb
_cell_length_a 11.338
_cell_length_b 3.510
_cell_length_c 5.929
_cell_angle_alpha 90.00
_cell_angle_beta 121.18
_cell_angle_gamma 90.00
_space_group_name_H-M_alt 'C 1 m 1'
_space_group_IT_number 8
loop_
_space_group_symop_operation_xyz
'x,y,z'
'x,-y,z'
'x+1/2,y+1/2,z'
'x+1/2,-y+1/2,z'
loop_
_atom_site_label
_atom_site_type_symbol
_atom_site_fract_x
_atom_site_fract_y
_atom_site_fract_z
Zn1 Zn 0.000 0.000 0.000
Hg1 Hg 0.040 0.500 0.410
Hg2 Hg 0.323 0.000 0.590
Pb1 Pb 0.226 0.500 0.026
```


VASP calculation (PBE) on crystalline ZnHg2Pb at its relaxed geometry.

CIF file:
```
data_ZnHg2Pb
_cell_length_a 3.5594
_cell_length_b 3.5594
_cell_length_c 27.4995
_cell_angle_alpha 90.00
_cell_angle_beta 90.00
_cell_angle_gamma 120.00
_space_group_name_H-M_alt 'R -3 m'
_space_group_IT_number 166
_space_group_name_Hall '-R 3 2"'
loop_
_atom_site_label
_atom_site_type_symbol
_atom_site_fract_x
_atom_site_fract_y
_atom_site_fract_z
Zn1 Zn 0.0000 0.0000 0.0000
Hg1 Hg 0.0000 0.0000 0.2626
Pb1 Pb 0.0000 0.0000 0.5000
```


no.,calculated formation energy (meV/atom),VASP energy (eV/atom)
1,147.1,-1.249
2,89.4,-1.964
3,81.4,-2.167
4,128.8,-2.119
5,83.5,-1.313
6,70.4,-1.326